(1)
A plane-wave DFT calculation with PBE was carried out for a relaxed structure of Ac5Tl4Cd.

Summary:
Space-group type: No. 123

abc: 4.013 4.013 21.717
angles: 90.00 90.00 90.00
Atoms (fractional coordinates):
Ac  0.500  0.500  0.905
Tl  0.000  0.000  0.398
Tl  0.000  0.000  0.194
Tl  0.000  0.000  0.806
Ac  0.500  0.500  0.095
Tl  0.000  0.000  0.602
Cd  0.000  0.000  0.000
Ac  0.500  0.500  0.703
Ac  0.500  0.500  0.500
Ac  0.500  0.500  0.297

(2)
A plane-wave DFT calculation with PBE was carried out for a relaxed structure of Cs2SiBr6O.

Summary:
Space-group type: No. 139
Uncorrected formation energy: -77.2 kJ per mole of atoms

abc: 7.574 7.574 7.789
angles: 60.91 60.91 90.00
Last column: magnetic moment on the atom in μB.
Atoms (fractional coordinates):
Br  0.230  0.770  0.000  0.04
Si  0.000  0.000  0.000  0.01
Br  0.786  0.786  0.428  0.04
Br  0.230  0.230  0.000  0.04
Br  0.770  0.230  0.000  0.04
Br  0.214  0.214  0.572  0.04
Cs  0.750  0.250  0.500  0.00
Cs  0.250  0.750  0.500  0.00
O  0.500  0.500  0.000  1.34
Br  0.770  0.770  0.000  0.04

(3)
A plane-wave DFT calculation with PBE was carried out for a relaxed structure of ScNbZnIr.

Summary:
Space-group type: No. 216

abc: 4.580 4.580 4.580
angles: 60.00 60.00 60.00
Atoms (fractional coordinates):
Ir  0.000  0.000  0.000
Sc  0.750  0.750  0.750
Nb  0.250  0.250  0.250
Zn  0.500  0.500  0.500

(4)
A plane-wave DFT calculation with PBE was carried out for a relaxed structure of TbCeHo2Tm4.

Summary:
Space-group type: No. 123

abc: 4.978 4.971 11.057
angles: 63.28 90.00 90.00
Last column: magnetic moment on the atom in μB.
Atoms (fractional coordinates):
Tm  0.500  0.251  0.749  0.03
Tb  0.500  0.500  0.000  -0.05
Tm  0.000  0.751  0.749  0.03
Ho  0.000  0.000  0.000  -0.06
Tm  0.000  0.249  0.251  0.03
Tm  0.500  0.749  0.251  0.03
Ce  0.000  0.500  0.500  0.67
Ho  0.500  0.000  0.500  0.06

(5)
A plane-wave DFT calculation with PBE was carried out for a relaxed structure of MgMn2Cu.

Summary:
Space-group type: No. 10

abc: 3.714 2.831 6.317
angles: 63.26 90.00 90.00
Last column: magnetic moment on the atom in μB.
Atoms (fractional coordinates):
Mn  0.000  0.520  0.481  3.40
Mn  0.000  0.980  0.019  3.40
Cu  0.500  0.250  0.250  0.14
Mg  0.500  0.750  0.750  -0.05

(6)
A plane-wave DFT calculation with PBE was carried out for a relaxed structure of CaCu4As2.

Summary:
Distance to the lowest polymorph of the same formula: 0.55 kcal/mol of atoms
Space-group type: No. 166

abc: 7.940 7.940 7.940
angles: 30.39 30.39 30.39
Atoms (fractional coordinates):
Cu  0.562  0.562  0.562
As  0.746  0.746  0.746
Cu  0.855  0.855  0.855
Cu  0.145  0.145  0.145
Cu  0.438  0.438  0.438
Ca  0.000  0.000  0.000
As  0.254  0.254  0.254

(7)
A plane-wave DFT calculation with PBE was carried out for a relaxed structure of CeThTe2.

Summary:
Distance to the lowest polymorph of the same formula: 0.00 kcal/mol of atoms
Space-group type: No. 166
Uncorrected formation energy: -115.2 kJ per mole of atoms

abc: 4.402 4.402 7.945
angles: 73.92 73.92 60.00
Last column: magnetic moment on the atom in μB.
Atoms (fractional coordinates):
Te  0.751  0.751  0.747  -0.01
Ce  0.500  0.500  0.500  0.86
Te  0.249  0.249  0.253  -0.01
Th  0.000  0.000  0.000  -0.01

(8)
A plane-wave DFT calculation with PBE was carried out for a relaxed structure of PtBrCl2.

Summary:
Distance to the lowest polymorph of the same formula: 10.63 kcal/mol of atoms
Space-group type: No. 166
Uncorrected formation energy: 17.4 kJ per mole of atoms

abc: 10.390 10.390 10.390
angles: 20.41 20.41 20.41
Last column: magnetic moment on the atom in μB.
Atoms (fractional coordinates):
Br  0.000  0.000  0.000  0.64
Pt  0.500  0.500  0.500  1.09
Cl  0.878  0.878  0.878  0.27
Cl  0.122  0.122  0.122  0.27

(9)
A plane-wave DFT calculation with PBE was carried out for a relaxed structure of Cr2IrCl.

Summary:
Distance to the lowest polymorph of the same formula: 0.00 kcal/mol of atoms
Space-group type: No. 47
Uncorrected formation energy: 7.4 kJ per mole of atoms

abc: 2.942 2.962 7.350
angles: 89.97 90.00 90.00
Last column: magnetic moment on the atom in μB.
Atoms (fractional coordinates):
Cr  0.000  0.750  0.472  2.97
Cr  0.000  0.750  0.028  2.97
Ir  0.500  0.250  0.250  -0.15
Cl  0.500  0.750  0.750  -0.01

(10)
A plane-wave DFT calculation with PBE was carried out for a relaxed structure of Pm8HoSc5.

Summary:
Space-group type: No. 1

abc: 8.529 8.500 8.172
angles: 113.00 98.85 118.19
Atoms (fractional coordinates):
Pm  0.081  0.212  0.735
Ho  0.166  0.507  0.531
Pm  0.681  0.438  0.931
Pm  0.536  0.810  0.910
Sc  0.816  0.759  0.725
Pm  0.690  0.252  0.342
Pm  0.194  0.716  0.084
Sc  0.300  0.030  0.912
Pm  0.054  0.781  0.444
Pm  0.480  0.549  0.245
Sc  0.883  0.969  0.256
Sc  0.568  0.979  0.599
Pm  0.360  0.243  0.467
Sc  0.942  0.254  0.068

(11)
A plane-wave DFT calculation with PBE was carried out for a relaxed structure of KCeY4Se8.

Summary:
Space-group type: No. 160
Uncorrected formation energy: -167.6 kJ per mole of atoms

abc: 8.580 8.580 8.712
angles: 60.50 60.50 60.00
Last column: magnetic moment on the atom in μB.
Atoms (fractional coordinates):
Se  0.753  0.753  0.265  0.00
Y  0.005  0.005  0.504  0.01
Se  0.753  0.230  0.265  0.00
Y  0.486  0.005  0.504  0.01
Se  0.230  0.753  0.265  0.00
Se  0.234  0.234  0.298  0.00
Y  0.626  0.626  0.122  0.01
K  0.372  0.372  0.883  0.00
Se  0.795  0.239  0.726  -0.01
Y  0.005  0.486  0.504  0.01
Se  0.239  0.239  0.726  -0.01
Ce  0.004  0.004  0.988  0.95
Se  0.239  0.795  0.726  -0.01
Se  0.758  0.758  0.727  0.00

(12)
A plane-wave DFT calculation with PBE was carried out for a relaxed structure of NaSmI2.

Summary:
Distance to the lowest polymorph of the same formula: 0.00 kcal/mol of atoms
Space-group type: No. 160
Uncorrected formation energy: -92.7 kJ per mole of atoms

abc: 4.101 4.101 9.117
angles: 77.00 77.00 60.00
Atoms (fractional coordinates):
Na  0.667  0.667  0.000
I  0.083  0.083  0.752
Sm  0.500  0.500  0.499
I  0.251  0.251  0.248

(13)
A plane-wave DFT calculation with PBE was carried out for a relaxed structure of Nd2Ga6Au3.

Summary:
Space-group type: No. 189

abc: 4.226 7.933 7.933
angles: 120.00 90.00 90.00
Atoms (fractional coordinates):
Au  0.500  0.000  0.630
Ga  0.500  0.000  0.307
Au  0.500  0.630  0.000
Ga  0.000  0.813  0.000
Ga  0.500  0.693  0.693
Nd  0.000  0.333  0.667
Ga  0.000  0.000  0.813
Ga  0.500  0.307  0.000
Nd  0.000  0.667  0.333
Au  0.500  0.370  0.370
Ga  0.000  0.187  0.187

(14)
A plane-wave DFT calculation with PBE was carried out for a relaxed structure of CeNd2DyN4.

Summary:
Space-group type: No. 10
Uncorrected formation energy: -143.8 kJ per mole of atoms

abc: 3.584 6.181 6.206
angles: 109.27 90.00 90.00
Atoms (fractional coordinates):
Dy  0.500  0.500  0.000
Nd  0.000  0.500  0.500
N  0.000  0.252  0.765
Nd  0.500  0.000  0.500
N  0.000  0.748  0.235
Ce  0.000  0.000  0.000
N  0.500  0.244  0.235
N  0.500  0.756  0.765

(15)
A plane-wave DFT calculation with PBE was carried out for a relaxed structure of MgAl5Pt2.

Summary:
Space-group type: No. 12

abc: 3.661 6.457 6.457
angles: 76.39 73.28 73.28
Atoms (fractional coordinates):
Mg  0.000  0.000  0.000
Al  0.351  0.843  0.457
Al  0.649  0.157  0.543
Al  0.351  0.457  0.843
Pt  0.735  0.764  0.764
Pt  0.265  0.236  0.236
Al  0.000  0.500  0.500
Al  0.649  0.543  0.157

(16)
A plane-wave DFT calculation with PBE was carried out for a relaxed structure of Ga2BRh8.

Summary:
Space-group type: No. 12

abc: 4.438 5.518 7.131
angles: 112.73 108.13 90.00
Atoms (fractional coordinates):
Rh  0.999  0.249  0.999
Ga  0.193  0.693  0.387
B  0.500  0.000  0.000
Rh  0.376  0.135  0.752
Rh  0.623  0.384  0.246
Rh  0.818  0.816  0.636
Rh  0.182  0.184  0.364
Rh  0.001  0.751  0.001
Ga  0.807  0.307  0.613
Rh  0.624  0.865  0.248
Rh  0.377  0.616  0.754

(17)
A plane-wave DFT calculation with PBE was carried out for a relaxed structure of FeMoHRh2.

Summary:
Distance to the lowest polymorph of the same formula: 0.00 kcal/mol of atoms
Space-group type: No. 123

abc: 3.830 3.830 3.847
angles: 90.00 90.00 90.00
Atoms (fractional coordinates):
Rh  0.500  0.000  0.000
Mo  0.500  0.500  0.500
H  0.000  0.000  0.000
Fe  0.000  0.000  0.500
Rh  0.000  0.500  0.000

(18)
A plane-wave DFT calculation with PBE was carried out for a relaxed structure of TlH2Ir.

Summary:
Distance to the lowest polymorph of the same formula: 20.54 kcal/mol of atoms
Space-group type: No. 225

abc: 4.017 4.017 4.017
angles: 60.00 60.00 60.00
Atoms (fractional coordinates):
Tl  0.500  0.500  0.500
H  0.250  0.250  0.250
H  0.750  0.750  0.750
Ir  0.000  0.000  0.000

(19)
A plane-wave DFT calculation with PBE was carried out for a relaxed structure of Sr2MgBi2.

Summary:
Space-group type: No. 12

abc: 6.799 8.240 8.798
angles: 72.00 67.27 65.63
Atoms (fractional coordinates):
Bi  0.841  0.790  0.528
Bi  0.589  0.676  0.146
Sr  0.887  0.414  0.811
Mg  0.620  0.931  0.828
Bi  0.411  0.324  0.854
Bi  0.159  0.210  0.472
Sr  0.340  0.758  0.562
Sr  0.660  0.242  0.438
Mg  0.380  0.069  0.172
Sr  0.113  0.586  0.189

(20)
A plane-wave DFT calculation with PBE was carried out for a relaxed structure of TlCd3F8.

Summary:
Space-group type: No. 221
Uncorrected formation energy: -199.7 kJ per mole of atoms

abc: 5.573 5.573 5.573
angles: 90.00 90.00 90.00
Atoms (fractional coordinates):
Cd  0.000  0.500  0.500
Tl  0.000  0.000  0.000
F  0.256  0.744  0.744
F  0.256  0.256  0.744
Cd  0.500  0.500  0.000
F  0.744  0.256  0.256
F  0.744  0.744  0.256
F  0.744  0.256  0.744
F  0.256  0.744  0.256
Cd  0.500  0.000  0.500
F  0.256  0.256  0.256
F  0.744  0.744  0.744

Number 1: E_tot -3.430 eV/atom, magnetic moment 0.0 μB per cell. Number 2: E_tot -3.012 eV/atom, magnetic moment 2.0 μB per cell. Number 3: E_tot -7.027 eV/atom, magnetic moment 0.0 μB per cell. Number 4: E_tot -4.655 eV/atom, magnetic moment 0.9 μB per cell. Number 5: E_tot -5.729 eV/atom, magnetic moment 7.0 μB per cell. Number 6: E_tot -4.302 eV/atom, magnetic moment 0.0 μB per cell. Number 7: E_tot -6.103 eV/atom, magnetic moment 1.0 μB per cell. Number 8: E_tot -2.672 eV/atom, magnetic moment 2.7 μB per cell. Number 9: E_tot -7.412 eV/atom, magnetic moment 6.3 μB per cell. Number 10: E_tot -5.107 eV/atom, magnetic moment 0.0 μB per cell. Number 11: E_tot -6.077 eV/atom, magnetic moment 1.0 μB per cell. Number 12: E_tot -3.245 eV/atom, magnetic moment 0.0 μB per cell. Number 13: E_tot -3.966 eV/atom, magnetic moment 0.0 μB per cell. Number 14: E_tot -8.162 eV/atom, magnetic moment 0.0 μB per cell. Number 15: E_tot -4.698 eV/atom, magnetic moment 0.0 μB per cell. Number 16: E_tot -6.713 eV/atom, magnetic moment 0.0 μB per cell. Number 17: E_tot -7.494 eV/atom, magnetic moment 0.0 μB per cell. Number 18: E_tot -3.368 eV/atom, magnetic moment 0.0 μB per cell. Number 19: E_tot -3.180 eV/atom, magnetic moment 0.0 μB per cell. Number 20: E_tot -3.743 eV/atom, magnetic moment 0.0 μB per cell.